The following is a DFT calculation (PBE) of NaCa3Pm3Se8 after structural relaxation.

Calculated values
As for the uncorrected formation energy: -1.8025 eV/atom. Its space-group type is R-3m. For the energy, the calculation gives -76.5 eV/cell.

Cell lengths 8.407, 8.405, 8.403 Å; angles 120.02, 90.00, 120.00 degrees
Fractional positions:
1 Se 0.251 0.995 0.746
2 Se 0.250 0.500 0.250
3 Se 0.256 0.005 0.254
4 Se 0.749 0.498 0.254
5 Se 0.251 0.502 0.746
6 Se 0.749 0.005 0.254
7 Se 0.750 0.500 0.750
8 Se 0.744 0.995 0.746
9 Ca 0.500 0.500 0.000
10 Ca 0.000 0.000 0.000
11 Ca 0.000 0.500 0.000
12 Na 0.000 0.000 0.500
13 Pm 0.500 0.500 0.500
14 Pm 0.500 0.000 0.500
15 Pm 0.000 0.500 0.500

***

The following is a DFT calculation (PBE) of NaCaPmSi after structural relaxation.

Calculated values
As for the uncorrected formation energy: -0.1520 eV/atom. Its space-group type is F-43m. For the energy, the calculation gives -14.1 eV/cell.

Cell lengths 5.245, 5.245, 5.245 Å; angles 60.00, 60.00, 60.00 degrees
Fractional positions:
1 Na 0.250 0.250 0.250
2 Si 0.750 0.750 0.750
3 Pm 0.000 0.000 0.000
4 Ca 0.500 0.500 0.500

***

The following is a DFT calculation (PBE) of NaCa3Pm2Te6 after structural relaxation.

Calculated values
As for the uncorrected formation energy: -1.4888 eV/atom. Its space-group type is C2/m. For the energy, the calculation gives -53.5 eV/cell.

Cell lengths 7.806, 7.806, 7.806 Å; angles 99.62, 99.62, 119.95 degrees
Fractional positions:
1 Ca 0.500 0.500 0.500
2 Ca 0.834 0.166 0.500
3 Ca 0.166 0.834 0.500
4 Te 0.916 0.580 0.750
5 Te 0.084 0.420 0.250
6 Te 0.580 0.916 0.750
7 Te 0.420 0.084 0.250
8 Te 0.747 0.747 0.251
9 Te 0.253 0.253 0.749
10 Pm 0.333 0.667 0.000
11 Pm 0.667 0.333 0.000
12 Na 0.000 0.000 0.000

***

The following is a DFT calculation (PBE) of NaCa2PmTe4 after structural relaxation.

Calculated values
As for the uncorrected formation energy: -1.4632 eV/atom. Its space-group type is P2/m. For the energy, the calculation gives -34.3 eV/cell.

Cell lengths 4.534, 7.832, 7.791 Å; angles 108.78, 90.00, 90.00 degrees
Fractional positions:
1 Te 0.500 0.247 0.247
2 Te 0.000 0.243 0.747
3 Te 0.000 0.757 0.253
4 Te 0.500 0.753 0.753
5 Ca 0.000 0.500 0.500
6 Ca 0.500 0.000 0.500
7 Pm 0.000 0.000 0.000
8 Na 0.500 0.500 0.000

***

The following is a DFT calculation (PBE) of NaCaPm2Te4 after structural relaxation.

Calculated values
As for the uncorrected formation energy: -1.4274 eV/atom. Its space-group type is P2/m. For the energy, the calculation gives -36.8 eV/cell.

Cell lengths 4.468, 7.740, 7.899 Å; angles 108.94, 90.00, 90.00 degrees
Fractional positions:
1 Te 0.000 0.750 0.250
2 Te 0.500 0.748 0.747
3 Te 0.500 0.252 0.253
4 Te 0.000 0.250 0.750
5 Pm 0.000 0.500 0.500
6 Pm 0.500 0.000 0.500
7 Ca 0.500 0.500 0.000
8 Na 0.000 0.000 0.000

***

The following is a DFT calculation (PBE) of NaCaPm2Tl4 after structural relaxation.

Calculated values
For the formation energy from the elements, the calculation gives -328 meV per atom. Its space-group type is R-3m. For the energy, the calculation gives -24.9 eV/cell.

Cell lengths 5.448, 5.448, 9.475 Å; angles 73.29, 73.29, 60.00 degrees
Fractional positions:
1 Pm 0.247 0.247 0.258
2 Pm 0.753 0.753 0.742
3 Na 0.500 0.500 0.500
4 Tl 0.126 0.126 0.623
5 Tl 0.624 0.624 0.129
6 Tl 0.376 0.376 0.871
7 Tl 0.874 0.874 0.377
8 Ca 0.000 0.000 0.000